(1)
Here is an optimized crystal structure of PtPb from OQMD. Energies are from PBE.

The structure belongs to space group Fm-3m (No. 225); the cell edges are 5.691, 5.691 and 5.691 Å and the angles 90.00°, 90.00° and 90.00°. Symmetry generates all atoms from Pt at (0.000, 0.000, 0.000) and Pb at (0.000, 0.000, 0.500).

The calculation puts the mass density at 14.50 g cm⁻³. For the volume, the calculation gives 23.04 Å³/atom. The electronic total energy is -39.40 eV for the cell shown.

***

(2)
Here is an optimized crystal structure of Pt3Pb from OQMD. Energies are from PBE.

The structure belongs to space group I4/mcm (No. 140); the cell edges are 5.816, 5.816 and 8.228 Å and the angles 90.00°, 90.00° and 90.00°. Symmetry generates all atoms from Pt at (0.000, 0.000, 0.250), Pt at (0.248, 0.252, 0.000) and Pb at (0.000, 0.500, 0.250).

The calculation puts the mass density at 18.91 g cm⁻³. For the volume, the calculation gives 17.40 Å³/atom. The electronic total energy is -88.93 eV for the cell shown.

***

(3)
Here is an optimized crystal structure of PtPb from OQMD. Energies are from PBE.

The structure belongs to space group P-6m2 (No. 187); the cell edges are 3.4951, 3.4951 and 4.1051 Å and the angles 90.00°, 90.00° and 120.00°. Symmetry generates all atoms from Pt at (0.0000, 0.0000, 0.0000) and Pb at (0.3333, 0.6667, 0.5000).

The calculation puts the mass density at 15.38 g cm⁻³. For the volume, the calculation gives 21.71 Å³/atom. The electronic total energy is -9.58 eV for the cell shown.

***

(4)
Here is an optimized crystal structure of Pt17Pb from OQMD. Energies are from PBE.

The structure belongs to space group P-3m1 (No. 164); the cell edges are 5.5476, 5.5476 and 33.7913 Å and the angles 90.00°, 90.00° and 120.00°. Symmetry generates all atoms from Pt at (0.0000, 0.0000, 0.0000), Pt at (0.0000, 0.0000, 0.2059), Pt at (0.0000, 0.5000, 0.0000), Pt at (0.0025, 0.5013, 0.2065), Pt at (0.1656, 0.3312, 0.7261), Pt at (0.1665, 0.3331, 0.9312), Pt at (0.1671, 0.3342, 0.1377), Pt at (0.3333, 0.6667, 0.0686), Pt at (0.3333, 0.6667, 0.8632) and Pb at (0.3333, 0.6667, 0.3031).

The calculation puts the mass density at 12.99 g cm⁻³. The energy above the most stable polymorph in this dataset is 0.0 kJ/mol of atoms. For the volume, the calculation gives 25.02 Å³/atom. The electronic total energy is -211.63 eV for the cell shown.

***

(5)
Here is an optimized crystal structure of Pt8Pb from OQMD. Energies are from PBE.

The structure belongs to space group C2/m (No. 12); the cell edges are 8.724, 3.963 and 30.575 Å and the angles 90.00°, 90.05° and 90.00°. Symmetry generates all atoms from Pt at (0.048, 0.000, 0.397), Pt at (0.050, 0.500, 0.544), Pt at (0.053, 0.000, 0.694), Pt at (0.148, 0.500, 0.337), Pt at (0.150, 0.000, 0.485), Pt at (0.152, 0.500, 0.632), Pt at (0.249, 0.500, 0.427), Pt at (0.249, 0.500, 0.720) and Pb at (0.054, 0.500, 0.240).

The calculation puts the mass density at 11.11 g cm⁻³. For the volume, the calculation gives 29.36 Å³/atom. The electronic total energy is -208.92 eV for the cell shown.

***

(6)
Here is an optimized crystal structure of Pt7Pb6 from OQMD. Energies are from PBE.

The structure belongs to space group Pbam (No. 55); the cell edges are 8.663, 11.515 and 5.637 Å and the angles 90.00°, 90.00° and 90.00°. Symmetry generates all atoms from Pt at (0.000, 0.000, 0.000), Pt at (0.099, 0.253, 0.000), Pt at (0.152, 0.835, 0.252), Pb at (0.053, 0.359, 0.500), Pb at (0.145, 0.088, 0.500) and Pb at (0.166, 0.576, 0.000).

The calculation puts the mass density at 15.41 g cm⁻³. For the volume, the calculation gives 21.63 Å³/atom. The electronic total energy is -129.80 eV for the cell shown.